# 1
Below is crystalline LiLa2ErS5 at its relaxed geometry, with properties calculated at the PBE level.

- crystal system = orthorhombic
- volume (Å³ per cell) = 804.0
- DFT total energy (eV/cell) = -220.37
- formation energy from raw total energies (meV/atom) = -2014

Lattice parameters (Å, degrees): 4.0352 16.5953 12.0066 90.00 90.00 90.00
Last column: nearest neighbours and their distance in Å.
Space group Cmc2_1 (No. 36)
Unique sites:
Li  0.0000  0.0166  0.0000 (multiplicity 4)  4 S 2.33-2.58
La  0.0000  0.3747  0.8200 (multiplicity 4)  8 S 2.90-3.14
La  0.0000  0.3918  0.2058 (multiplicity 4)  8 S 2.95-3.16
Er  0.0000  0.3020  0.5242 (multiplicity 4)  6 S 2.61-2.75
S  0.0000  0.0004  0.3031 (multiplicity 4)  1 Li 2.38
S  0.0000  0.1384  0.5200 (multiplicity 4)  1 Li 2.58, 1 Er 2.72
S  0.0000  0.1925  0.8712 (multiplicity 4)  2 Er 2.73
S  0.0000  0.2128  0.1790 (multiplicity 4)  2 Er 2.75, 3 La 2.99-3.01
S  0.0000  0.4524  0.5874 (multiplicity 4)  2 Li 2.33, 1 Er 2.61

---

# 2
Below is crystalline Cr2CuRu at its relaxed geometry, with properties calculated at the PBE level.

- crystal system = orthorhombic
- D(E_F) (states/eV/cell) = 9.429
- volume (Å³ per cell) = 100.8
- DFT total energy (eV/cell) = -63.21

Lattice parameters (Å, degrees): 2.8902 4.2253 8.2579 90.00 90.00 90.00
Last column: nearest neighbours and their distance in Å.
Space group Cmm2 (No. 35)
Unique sites:
Cr  0.0000  0.0000  0.0000 (multiplicity 2)  6 Cr 2.34-2.56, 2 Ru 2.53
Cr  0.0000  0.5000  0.2235 (multiplicity 2)  6 Cr 2.34-2.56, 2 Cu 2.55
Cu  0.0000  0.0000  0.4779 (multiplicity 2)  2 Cr 2.55, 4 Cu 2.56, 2 Ru 2.66
Ru  0.0000  0.5000  0.7480 (multiplicity 2)  2 Cr 2.53, 4 Ru 2.56, 2 Cu 2.66

---

# 3
Below is crystalline TaSnTe at its relaxed geometry, with properties calculated at the PBE level.

- crystal system = triclinic
- D(E_F) (states/eV/cell) = 1.822
- volume (Å³ per cell) = 150.4
- DFT total energy (eV/cell) = -37.95
- formation energy from raw total energies (meV/atom) = 7

Lattice parameters (Å, degrees): 3.4289 6.1032 7.2962 89.69 80.05 89.13
Last column: nearest neighbours and their distance in Å.
Space group P-1 (No. 2)
Unique sites:
Ta  0.2408  0.2477  0.0134 (multiplicity 2)  3 Te 2.77-2.78, 3 Sn 2.89-3.00
Sn  0.3641  0.9271  0.6972 (multiplicity 2)  3 Ta 2.89-3.00, 1 Sn 3.00
Te  0.1636  0.5953  0.2603 (multiplicity 2)  3 Ta 2.77-2.78

---

# 4
Below is crystalline HfCo3 at its relaxed geometry, with properties calculated at the PBE level.

- crystal system = hexagonal
- D(E_F) (states/eV/cell) = 35.126
- volume (Å³ per cell) = 312.5
- DFT total energy (eV/cell) = -194.49

Lattice parameters (Å, degrees): 4.7822 4.7822 15.7777 90.00 90.00 120.00
Last column: nearest neighbours and their distance in Å.
Space group P6_3/mmc (No. 194)
Unique sites:
Hf  0.3333  0.6667  0.0420 (multiplicity 4)  12 Co 2.73-2.97
Hf  0.3333  0.6667  0.2500 (multiplicity 2)  6 Co 2.76
Co  0.0000  0.0000  0.0000 (multiplicity 2)  6 Co 2.42
Co  0.0000  0.0000  0.2500 (multiplicity 2)  6 Co 2.41
Co  0.1679  0.3357  0.6253 (multiplicity 12)  7 Co 2.37-2.42
Co  0.3333  0.6667  0.7500 (multiplicity 2)  6 Co 2.40